Entry 1:
# ZnGa2Tc2 | Alexandria via LeMat-Bulk | GGA-PBE | relaxed
data_ZnGa2Tc2
_chemical_formula_sum 'Zn2 Ga4 Tc4'
_cell_length_a 6.667
_cell_length_b 6.667
_cell_length_c 3.493
_cell_angle_alpha 90.00
_cell_angle_beta 90.00
_cell_angle_gamma 90.00
_space_group_name_H-M_alt 'P 4/m b m'
_space_group_IT_number 127
_space_group_name_Hall '-P 4 2ab'
loop_
_atom_site_label
_atom_site_type_symbol
_atom_site_fract_x
_atom_site_fract_y
_atom_site_fract_z
Zn1 Zn 0.000 0.000 0.000
Ga1 Ga 0.157 0.343 0.500
Tc1 Tc 0.143 0.643 0.000
# - M_tot: 0.0 μB per formula unit
# - Total DFT energy (no corrections): -56.2 eV for the cell shown
# - Energy relative to the lowest polymorph listed for this composition: 0.000 eV/atom
# - Energy of formation from the pure elements: -9 meV per atom
# - Crystal system: tetragonal

***

Entry 2:
# Zn4Ga4Tc | Alexandria via LeMat-Bulk | GGA-PBE | relaxed
data_Zn4Ga4Tc
_chemical_formula_sum 'Zn8 Ga8 Tc2'
_cell_length_a 8.558
_cell_length_b 8.558
_cell_length_c 3.842
_cell_angle_alpha 90.00
_cell_angle_beta 90.00
_cell_angle_gamma 90.00
_space_group_name_H-M_alt 'I 4/m m m'
_space_group_IT_number 139
_space_group_name_Hall '-I 4 2'
loop_
_atom_site_label
_atom_site_type_symbol
_atom_site_fract_x
_atom_site_fract_y
_atom_site_fract_z
Zn1 Zn 0.161 0.161 0.000
Ga1 Ga 0.000 0.323 0.500
Tc1 Tc 0.000 0.000 0.500
# - M_tot: 0.0 μB per formula unit
# - Total DFT energy (no corrections): -53.9 eV for the cell shown
# - Energy of formation from the pure elements: 70 meV per atom
# - Crystal system: tetragonal

***

Entry 3:
# Zn6GaTc | Alexandria via LeMat-Bulk | GGA-PBE | relaxed
data_Zn6GaTc
_chemical_formula_sum 'Zn12 Ga2 Tc2'
_cell_length_a 7.264
_cell_length_b 5.238
_cell_length_c 7.226
_cell_angle_alpha 90.00
_cell_angle_beta 102.34
_cell_angle_gamma 90.00
_space_group_name_H-M_alt 'C 1 2/m 1'
_space_group_IT_number 12
_space_group_name_Hall '-C 2y'
loop_
_atom_site_label
_atom_site_type_symbol
_atom_site_fract_x
_atom_site_fract_y
_atom_site_fract_z
Zn1 Zn 0.137 0.000 0.431
Zn2 Zn 0.190 0.251 0.796
Ga1 Ga 0.000 0.000 0.000
Tc1 Tc 0.000 0.500 0.500
# - M_tot: 1.0 μB per formula unit
# - Total DFT energy (no corrections): -38.1 eV for the cell shown
# - Energy relative to the lowest polymorph listed for this composition: 0.223 eV/atom
# - Energy of formation from the pure elements: 248 meV per atom
# - Crystal system: monoclinic

***

Entry 4:
# ZnGaTc3 | Alexandria via LeMat-Bulk | GGA-PBE | relaxed
data_ZnGaTc3
_chemical_formula_sum 'Zn1 Ga1 Tc3'
_cell_length_a 4.544
_cell_length_b 4.544
_cell_length_c 4.544
_cell_angle_alpha 90.00
_cell_angle_beta 90.00
_cell_angle_gamma 90.00
_space_group_name_H-M_alt 'P m -3 m'
_space_group_IT_number 221
_space_group_name_Hall '-P 4 2 3'
loop_
_atom_site_label
_atom_site_type_symbol
_atom_site_fract_x
_atom_site_fract_y
_atom_site_fract_z
Zn1 Zn 0.000 0.000 0.000
Ga1 Ga 0.500 0.500 0.500
Tc1 Tc 0.000 0.500 0.500
# - M_tot: 2.9 μB per formula unit
# - Total DFT energy (no corrections): -27.8 eV for the cell shown
# - Energy relative to the lowest polymorph listed for this composition: 0.000 eV/atom
# - Energy of formation from the pure elements: 1512 meV per atom
# - Crystal system: cubic